(1)
# PBE PmEr2Se4, relaxed
data_PmEr2Se4
_chemical_formula_sum 'Pm1 Er2 Se4'
_space_group_name_H-M_alt 'P 1 2/m 1'
_space_group_IT_number 10
_cell_length_a 6.991
_cell_length_b 4.082
_cell_length_c 7.142
_cell_angle_alpha 90.00
_cell_angle_beta 108.11
_cell_angle_gamma 90.00
loop_
_space_group_symop_operation_xyz
'x,y,z'
'-x,-y,-z'
'-x,y,-z'
'x,-y,z'
loop_
_atom_site_label
_atom_site_type_symbol
_atom_site_fract_x
_atom_site_fract_y
_atom_site_fract_z
Pm1 Pm 0.000 0.000 0.000
Er1 Er 0.000 0.500 0.500
Er2 Er 0.500 0.000 0.500
Se1 Se 0.245 0.000 0.736
Se2 Se 0.261 0.500 0.256
# **Total DFT energy (no corrections)**: -40.96 eV for the cell shown
# **Energy relative to the elements, uncorrected**: -1878.2 meV/atom

***

(2)
# PBE PmEr2Se3, relaxed
data_PmEr2Se3
_chemical_formula_sum 'Pm4 Er8 Se12'
_space_group_name_H-M_alt 'C m c m'
_space_group_IT_number 63
_space_group_name_Hall '-C 2c 2'
_cell_length_a 10.622
_cell_length_b 13.398
_cell_length_c 6.010
_cell_angle_alpha 90.00
_cell_angle_beta 90.00
_cell_angle_gamma 90.00
loop_
_atom_site_label
_atom_site_type_symbol
_atom_site_fract_x
_atom_site_fract_y
_atom_site_fract_z
Pm1 Pm 0.000 0.087 0.250
Er1 Er 0.183 0.500 0.000
Se1 Se 0.000 0.398 0.750
Se2 Se 0.148 0.107 0.750
# **Total DFT energy (no corrections)**: -123.70 eV for the cell shown
# **Energy relative to the elements, uncorrected**: -1099.1 meV/atom

***

(3)
# PBE PmErSe3, relaxed
data_PmErSe3
_chemical_formula_sum 'Pm4 Er4 Se12'
_space_group_name_H-M_alt 'P n m a'
_space_group_IT_number 62
_cell_length_a 7.703
_cell_length_b 4.113
_cell_length_c 16.041
_cell_angle_alpha 90.00
_cell_angle_beta 90.00
_cell_angle_gamma 90.00
loop_
_space_group_symop_operation_xyz
'x,y,z'
'-x,-y,-z'
'-x+1/2,-y,z+1/2'
'x+1/2,y,-z+1/2'
'x+1/2,-y+1/2,-z+1/2'
'-x+1/2,y+1/2,z+1/2'
'-x,y+1/2,-z'
'x,-y+1/2,z'
loop_
_atom_site_label
_atom_site_type_symbol
_atom_site_fract_x
_atom_site_fract_y
_atom_site_fract_z
Pm1 Pm 0.140 0.250 0.201
Er1 Er 0.229 0.750 0.458
Se1 Se 0.009 0.250 0.394
Se2 Se 0.122 0.750 0.063
Se3 Se 0.152 0.250 0.785
# **Total DFT energy (no corrections)**: -116.64 eV for the cell shown
# **Energy relative to the elements, uncorrected**: -1878.7 meV/atom

***

(4)
# PBE PmErSe2, relaxed
data_PmErSe2
_chemical_formula_sum 'Pm2 Er2 Se4'
_space_group_name_H-M_alt 'P m n 21'
_space_group_IT_number 31
_cell_length_a 4.303
_cell_length_b 9.207
_cell_length_c 6.519
_cell_angle_alpha 90.00
_cell_angle_beta 90.00
_cell_angle_gamma 90.00
loop_
_space_group_symop_operation_xyz
'x,y,z'
'-x+1/2,-y,z+1/2'
'-x,y,z'
'x+1/2,-y,z+1/2'
loop_
_atom_site_label
_atom_site_type_symbol
_atom_site_fract_x
_atom_site_fract_y
_atom_site_fract_z
Pm1 Pm 0.000 0.087 0.000
Er1 Er 0.000 0.659 0.869
Se1 Se 0.000 0.408 0.124
Se2 Se 0.000 0.822 0.221
# **Total DFT energy (no corrections)**: -43.70 eV for the cell shown
# **Energy relative to the elements, uncorrected**: -1391.4 meV/atom

***

(5)
# PBE PmEr2Se5, relaxed
data_PmEr2Se5
_chemical_formula_sum 'Pm4 Er8 Se20'
_space_group_name_H-M_alt 'I 4/m c m'
_space_group_IT_number 140
_space_group_name_Hall '-I 4 2c'
_cell_length_a 7.605
_cell_length_b 7.605
_cell_length_c 13.176
_cell_angle_alpha 90.00
_cell_angle_beta 90.00
_cell_angle_gamma 90.00
loop_
_atom_site_label
_atom_site_type_symbol
_atom_site_fract_x
_atom_site_fract_y
_atom_site_fract_z
Pm1 Pm 0.000 0.000 0.250
Er1 Er 0.156 0.344 0.000
Se1 Se 0.000 0.000 0.000
Se2 Se 0.155 0.345 0.354
# **Total DFT energy (no corrections)**: -176.74 eV for the cell shown
# **Energy relative to the elements, uncorrected**: -1610.7 meV/atom

***

(6)
# PBE PmEr2Se4, relaxed
data_PmEr2Se4
_chemical_formula_sum 'Pm4 Er8 Se16'
_space_group_name_H-M_alt 'C m c m'
_space_group_IT_number 63
_space_group_name_Hall '-C 2c 2'
_cell_length_a 3.996
_cell_length_b 13.378
_cell_length_c 13.791
_cell_angle_alpha 90.00
_cell_angle_beta 90.00
_cell_angle_gamma 90.00
loop_
_atom_site_label
_atom_site_type_symbol
_atom_site_fract_x
_atom_site_fract_y
_atom_site_fract_z
Pm1 Pm 0.000 0.125 0.250
Er1 Er 0.000 0.370 0.068
Se1 Se 0.000 0.000 0.000
Se2 Se 0.000 0.274 0.619
Se3 Se 0.000 0.462 0.250
# **Total DFT energy (no corrections)**: -163.04 eV for the cell shown
# **Energy relative to the elements, uncorrected**: -1849.5 meV/atom

***

(7)
# PBE Pm3Er2Se6, relaxed
data_Pm3Er2Se6
_chemical_formula_sum 'Pm9 Er6 Se18'
_space_group_name_H-M_alt 'R -3 m'
_space_group_IT_number 166
_space_group_name_Hall '-R 3 2"'
_cell_length_a 4.1430
_cell_length_b 4.1430
_cell_length_c 61.8393
_cell_angle_alpha 90.00
_cell_angle_beta 90.00
_cell_angle_gamma 120.00
loop_
_atom_site_label
_atom_site_type_symbol
_atom_site_fract_x
_atom_site_fract_y
_atom_site_fract_z
Pm1 Pm 0.0000 0.0000 0.0000
Pm2 Pm 0.0000 0.0000 0.2778
Er1 Er 0.0000 0.0000 0.4479
Se1 Se 0.0000 0.0000 0.0851
Se2 Se 0.0000 0.0000 0.1969
Se3 Se 0.0000 0.0000 0.3614
# **Total DFT energy (no corrections)**: -192.70 eV for the cell shown
# **Energy relative to the elements, uncorrected**: -1813.4 meV/atom

***

(8)
# PBE Pm3ErSe4, relaxed
data_Pm3ErSe4
_chemical_formula_sum 'Pm6 Er2 Se8'
_space_group_name_H-M_alt 'C m m m'
_space_group_IT_number 65
_space_group_name_Hall '-C 2 2'
_cell_length_a 8.433
_cell_length_b 11.770
_cell_length_c 4.099
_cell_angle_alpha 90.00
_cell_angle_beta 90.00
_cell_angle_gamma 90.00
loop_
_atom_site_label
_atom_site_type_symbol
_atom_site_fract_x
_atom_site_fract_y
_atom_site_fract_z
Pm1 Pm 0.000 0.000 0.000
Pm2 Pm 0.250 0.250 0.500
Er1 Er 0.000 0.500 0.000
Se1 Se 0.000 0.255 0.000
Se2 Se 0.239 0.500 0.500
# **Total DFT energy (no corrections)**: -94.25 eV for the cell shown
# **Energy relative to the elements, uncorrected**: -1796.5 meV/atom

***

(9)
# PBE PmErSe2, relaxed
data_PmErSe2
_chemical_formula_sum 'Pm4 Er4 Se8'
_space_group_name_H-M_alt 'F m -3 m'
_space_group_IT_number 225
_space_group_name_Hall '-F 4 2 3'
_cell_length_a 7.151
_cell_length_b 7.151
_cell_length_c 7.151
_cell_angle_alpha 90.00
_cell_angle_beta 90.00
_cell_angle_gamma 90.00
loop_
_atom_site_label
_atom_site_type_symbol
_atom_site_fract_x
_atom_site_fract_y
_atom_site_fract_z
Pm1 Pm 0.000 0.000 0.000
Er1 Er 0.000 0.000 0.500
Se1 Se 0.250 0.250 0.250
# **Total DFT energy (no corrections)**: -89.43 eV for the cell shown
# **Energy relative to the elements, uncorrected**: -1518.5 meV/atom

***

(10)
# PBE PmEr6Se8, relaxed
data_PmEr6Se8
_chemical_formula_sum 'Pm4 Er24 Se32'
_space_group_name_H-M_alt 'F m -3 m'
_space_group_IT_number 225
_space_group_name_Hall '-F 4 2 3'
_cell_length_a 11.405
_cell_length_b 11.405
_cell_length_c 11.405
_cell_angle_alpha 90.00
_cell_angle_beta 90.00
_cell_angle_gamma 90.00
loop_
_atom_site_label
_atom_site_type_symbol
_atom_site_fract_x
_atom_site_fract_y
_atom_site_fract_z
Pm1 Pm 0.000 0.000 0.000
Er1 Er 0.000 0.250 0.250
Se1 Se 0.000 0.000 0.260
Se2 Se 0.250 0.250 0.250
# **Total DFT energy (no corrections)**: -347.71 eV for the cell shown
# **Energy relative to the elements, uncorrected**: -1794.8 meV/atom

***

(11)
# PBE Pm3ErSe6, relaxed
data_Pm3ErSe6
_chemical_formula_sum 'Pm18 Er6 Se36'
_space_group_name_H-M_alt 'R -3'
_space_group_IT_number 148
_space_group_name_Hall '-R 3'
_cell_length_a 12.1951
_cell_length_b 12.1951
_cell_length_c 14.4837
_cell_angle_alpha 90.00
_cell_angle_beta 90.00
_cell_angle_gamma 120.00
loop_
_atom_site_label
_atom_site_type_symbol
_atom_site_fract_x
_atom_site_fract_y
_atom_site_fract_z
Pm1 Pm 0.0518 0.7802 0.2012
Er1 Er 0.0000 0.0000 0.0000
Er2 Er 0.0000 0.0000 0.5000
Se1 Se 0.0201 0.8118 0.3978
Se2 Se 0.0325 0.8392 0.8791
# **Total DFT energy (no corrections)**: -350.22 eV for the cell shown
# **Energy relative to the elements, uncorrected**: -1864.8 meV/atom

***

(12)
# PBE PmSm2ErSe5, relaxed
data_PmSm2ErSe5
_chemical_formula_sum 'Pm1 Sm2 Er1 Se5'
_space_group_name_H-M_alt 'P 4/m m m'
_space_group_IT_number 123
_space_group_name_Hall '-P 4 2'
_cell_length_a 5.105
_cell_length_b 5.105
_cell_length_c 10.918
_cell_angle_alpha 90.00
_cell_angle_beta 90.00
_cell_angle_gamma 90.00
loop_
_atom_site_label
_atom_site_type_symbol
_atom_site_fract_x
_atom_site_fract_y
_atom_site_fract_z
Pm1 Pm 0.000 0.000 0.000
Sm1 Sm 0.500 0.500 0.334
Er1 Er 0.000 0.000 0.500
Se1 Se 0.000 0.000 0.251
Se2 Se 0.000 0.500 0.500
Se3 Se 0.500 0.500 0.000
# **Total DFT energy (no corrections)**: -47.42 eV for the cell shown
# **Energy relative to the elements, uncorrected**: -1250.0 meV/atom

***

(13)
# PBE PmSmEr2Se6, relaxed
data_PmSmEr2Se6
_chemical_formula_sum 'Pm3 Sm3 Er6 Se18'
_space_group_name_H-M_alt 'R 3'
_space_group_IT_number 146
_space_group_name_Hall 'R 3'
_cell_length_a 7.2773
_cell_length_b 7.2773
_cell_length_c 19.4650
_cell_angle_alpha 90.00
_cell_angle_beta 90.00
_cell_angle_gamma 120.00
loop_
_atom_site_label
_atom_site_type_symbol
_atom_site_fract_x
_atom_site_fract_y
_atom_site_fract_z
Pm1 Pm 0.0000 0.0000 0.0000
Sm1 Sm 0.0000 0.0000 0.4990
Er1 Er 0.0000 0.0000 0.3003
Er2 Er 0.0000 0.0000 0.8009
Se1 Se 0.0166 0.3113 0.8958
Se2 Se 0.0194 0.7080 0.3957
# **Total DFT energy (no corrections)**: -173.84 eV for the cell shown
# **Energy relative to the elements, uncorrected**: -1844.3 meV/atom

***

(14)
# PBE Pm3Sm4ErSe8, relaxed
data_Pm3Sm4ErSe8
_chemical_formula_sum 'Pm9 Sm12 Er3 Se24'
_space_group_name_H-M_alt 'R -3 m'
_space_group_IT_number 166
_space_group_name_Hall '-R 3 2"'
_cell_length_a 8.3358
_cell_length_b 8.3358
_cell_length_c 20.4094
_cell_angle_alpha 90.00
_cell_angle_beta 90.00
_cell_angle_gamma 120.00
loop_
_atom_site_label
_atom_site_type_symbol
_atom_site_fract_x
_atom_site_fract_y
_atom_site_fract_z
Pm1 Pm 0.0000 0.5000 0.0000
Sm1 Sm 0.0000 0.0000 0.5000
Sm2 Sm 0.0000 0.5000 0.5000
Er1 Er 0.0000 0.0000 0.0000
Se1 Se 0.0000 0.0000 0.2493
Se2 Se 0.0075 0.5038 0.7489
# **Total DFT energy (no corrections)**: -283.16 eV for the cell shown
# **Energy relative to the elements, uncorrected**: -1801.2 meV/atom

***

(15)
# PBE PmSm3Er2Se6, relaxed
data_PmSm3Er2Se6
_chemical_formula_sum 'Pm2 Sm6 Er4 Se12'
_space_group_name_H-M_alt 'C 1 2/m 1'
_space_group_IT_number 12
_cell_length_a 7.121
_cell_length_b 12.397
_cell_length_c 7.186
_cell_angle_alpha 90.00
_cell_angle_beta 109.35
_cell_angle_gamma 90.00
loop_
_space_group_symop_operation_xyz
'x,y,z'
'-x,-y,-z'
'-x,y,-z'
'x,-y,z'
'x+1/2,y+1/2,z'
'-x+1/2,-y+1/2,-z'
'-x+1/2,y+1/2,-z'
'x+1/2,-y+1/2,z'
loop_
_atom_site_label
_atom_site_type_symbol
_atom_site_fract_x
_atom_site_fract_y
_atom_site_fract_z
Pm1 Pm 0.000 0.000 0.000
Sm1 Sm 0.000 0.160 0.500
Sm2 Sm 0.000 0.500 0.500
Er1 Er 0.000 0.334 0.000
Se1 Se 0.236 0.500 0.239
Se2 Se 0.247 0.328 0.756
# **Total DFT energy (no corrections)**: -140.67 eV for the cell shown
# **Energy relative to the elements, uncorrected**: -1782.8 meV/atom

***

(16)
# PBE Pm3SmEr2Se6, relaxed
data_Pm3SmEr2Se6
_chemical_formula_sum 'Pm6 Sm2 Er4 Se12'
_space_group_name_H-M_alt 'C 1 2/m 1'
_space_group_IT_number 12
_cell_length_a 18.085
_cell_length_b 4.110
_cell_length_c 8.353
_cell_angle_alpha 90.00
_cell_angle_beta 104.06
_cell_angle_gamma 90.00
loop_
_space_group_symop_operation_xyz
'x,y,z'
'-x,-y,-z'
'-x,y,-z'
'x,-y,z'
'x+1/2,y+1/2,z'
'-x+1/2,-y+1/2,-z'
'-x+1/2,y+1/2,-z'
'x+1/2,-y+1/2,z'
loop_
_atom_site_label
_atom_site_type_symbol
_atom_site_fract_x
_atom_site_fract_y
_atom_site_fract_z
Pm1 Pm 0.000 0.000 0.000
Pm2 Pm 0.163 0.500 0.333
Sm1 Sm 0.000 0.000 0.500
Er1 Er 0.166 0.500 0.831
Se1 Se 0.005 0.500 0.751
Se2 Se 0.168 0.000 0.594
Se3 Se 0.171 0.000 0.075
# **Total DFT energy (no corrections)**: -140.92 eV for the cell shown
# **Energy relative to the elements, uncorrected**: -1787.9 meV/atom

***

(17)
# PBE Pm3Sm2ErSe6, relaxed
data_Pm3Sm2ErSe6
_chemical_formula_sum 'Pm6 Sm4 Er2 Se12'
_space_group_name_H-M_alt 'C 1 2/m 1'
_space_group_IT_number 12
_cell_length_a 18.142
_cell_length_b 4.143
_cell_length_c 8.376
_cell_angle_alpha 90.00
_cell_angle_beta 103.47
_cell_angle_gamma 90.00
loop_
_space_group_symop_operation_xyz
'x,y,z'
'-x,-y,-z'
'-x,y,-z'
'x,-y,z'
'x+1/2,y+1/2,z'
'-x+1/2,-y+1/2,-z'
'-x+1/2,y+1/2,-z'
'x+1/2,-y+1/2,z'
loop_
_atom_site_label
_atom_site_type_symbol
_atom_site_fract_x
_atom_site_fract_y
_atom_site_fract_z
Pm1 Pm 0.000 0.000 0.000
Pm2 Pm 0.170 0.500 0.333
Sm1 Sm 0.168 0.500 0.836
Er1 Er 0.000 0.000 0.500
Se1 Se 0.000 0.500 0.261
Se2 Se 0.161 0.000 0.582
Se3 Se 0.166 0.000 0.082
# **Total DFT energy (no corrections)**: -141.68 eV for the cell shown
# **Energy relative to the elements, uncorrected**: -1806.5 meV/atom

***

(18)
# PBE Pm4SmEr3Se8, relaxed
data_Pm4SmEr3Se8
_chemical_formula_sum 'Pm12 Sm3 Er9 Se24'
_space_group_name_H-M_alt 'R -3 m'
_space_group_IT_number 166
_space_group_name_Hall '-R 3 2"'
_cell_length_a 8.2074
_cell_length_b 8.2074
_cell_length_c 20.5844
_cell_angle_alpha 90.00
_cell_angle_beta 90.00
_cell_angle_gamma 120.00
loop_
_atom_site_label
_atom_site_type_symbol
_atom_site_fract_x
_atom_site_fract_y
_atom_site_fract_z
Pm1 Pm 0.0000 0.0000 0.0000
Pm2 Pm 0.0000 0.5000 0.0000
Sm1 Sm 0.0000 0.0000 0.5000
Er1 Er 0.0000 0.5000 0.5000
Se1 Se 0.0000 0.0000 0.2447
Se2 Se 0.0062 0.5031 0.7539
# **Total DFT energy (no corrections)**: -281.21 eV for the cell shown
# **Energy relative to the elements, uncorrected**: -1778.2 meV/atom

***

(19)
# PBE PmSm2Er3Se6, relaxed
data_PmSm2Er3Se6
_chemical_formula_sum 'Pm2 Sm4 Er6 Se12'
_space_group_name_H-M_alt 'C 1 2/m 1'
_space_group_IT_number 12
_cell_length_a 7.036
_cell_length_b 12.257
_cell_length_c 7.223
_cell_angle_alpha 90.00
_cell_angle_beta 109.07
_cell_angle_gamma 90.00
loop_
_space_group_symop_operation_xyz
'x,y,z'
'-x,-y,-z'
'-x,y,-z'
'x,-y,z'
'x+1/2,y+1/2,z'
'-x+1/2,-y+1/2,-z'
'-x+1/2,y+1/2,-z'
'x+1/2,-y+1/2,z'
loop_
_atom_site_label
_atom_site_type_symbol
_atom_site_fract_x
_atom_site_fract_y
_atom_site_fract_z
Pm1 Pm 0.000 0.000 0.000
Sm1 Sm 0.000 0.334 0.000
Er1 Er 0.000 0.166 0.500
Er2 Er 0.000 0.500 0.500
Se1 Se 0.245 0.333 0.736
Se2 Se 0.247 0.000 0.737
# **Total DFT energy (no corrections)**: -139.94 eV for the cell shown
# **Energy relative to the elements, uncorrected**: -1765.3 meV/atom

***

(20)
# PBE PmSm2ErSe4, relaxed
data_PmSm2ErSe4
_chemical_formula_sum 'Pm1 Sm2 Er1 Se4'
_space_group_name_H-M_alt 'P 1 2/m 1'
_space_group_IT_number 10
_cell_length_a 7.189
_cell_length_b 4.091
_cell_length_c 7.242
_cell_angle_alpha 90.00
_cell_angle_beta 108.80
_cell_angle_gamma 90.00
loop_
_space_group_symop_operation_xyz
'x,y,z'
'-x,-y,-z'
'-x,y,-z'
'x,-y,z'
loop_
_atom_site_label
_atom_site_type_symbol
_atom_site_fract_x
_atom_site_fract_y
_atom_site_fract_z
Pm1 Pm 0.000 0.000 0.000
Sm1 Sm 0.500 0.000 0.500
Sm2 Sm 0.500 0.500 0.000
Er1 Er 0.000 0.500 0.500
Se1 Se 0.242 0.000 0.740
Se2 Se 0.247 0.500 0.256
# **Total DFT energy (no corrections)**: -46.98 eV for the cell shown
# **Energy relative to the elements, uncorrected**: -1786.8 meV/atom